Here is a geometry-optimized ScMoSe2N structure from the Alexandria database. Energies are from PBE.

## Properties
formation energy from raw total energies	449	meV per atom
energy	-30.21	eV per cell
ΔE to the lowest computed polymorph	0.754	eV per atom

Cell: 5.1702 5.1702 4.0247 Å, 90.00 90.00 90.00°
With the nearest neighbours (Å) after each atom.
Atoms (fractional coordinates):
Sc: 0.0000 0.0000 0.0000  2 N 2.01
Mo: 0.5000 0.5000 0.5000  8 Se 3.28, 4 N 3.66
Se: 0.0000 0.5000 0.0000  2 Sc 2.59
Se: 0.5000 0.0000 0.0000  2 Sc 2.59
N: 0.0000 0.0000 0.5000  2 Sc 2.01